Density functional theory data (PBE) for crystalline Er5Tm5Th2 at its relaxed geometry.

extended XYZ file:
```
12
Lattice="6.070 0.000 0.000 2.045 7.610 0.000 0.086 3.248 7.980" Properties=species:S:1:pos:R:3 pbc="T T T"
Er 0.000 0.000 0.000
Er 1.096 3.768 4.641
Er 2.053 4.317 1.330
Er 6.148 6.541 6.650
Er 7.105 7.090 3.339
Tm 3.141 8.148 5.962
Tm 3.120 4.865 7.322
Tm 4.101 5.429 3.990
Tm 5.082 5.993 0.658
Tm 5.060 2.710 2.018
Th 4.115 8.685 2.656
Th 4.087 2.173 5.324
```

Properties
Its relative energy among the computed polymorphs is 0 meV/atom.

Density functional theory data (PBE) for crystalline La3MgO at its relaxed geometry.

extended XYZ file:
```
10
Lattice="4.012 0.000 0.000 -2.006 3.474 0.000 0.000 0.000 22.026" Properties=species:S:1:pos:R:3 pbc="T T T"
La 0.000 0.000 5.506
La 0.000 0.000 16.519
La 0.000 2.316 2.581
La 0.000 2.316 8.432
La 2.006 1.158 13.594
La 2.006 1.158 19.445
Mg 0.000 0.000 0.000
Mg 0.000 0.000 11.013
O 0.000 2.316 5.506
O 2.006 1.158 16.519
```

Properties
Its relative energy among the computed polymorphs is 197 meV/atom.

Density functional theory data (PBE) for crystalline In3NiN at its relaxed geometry.

extended XYZ file:
```
5
Lattice="4.600 0.000 0.000 0.000 4.600 0.000 0.000 0.000 4.600" Properties=species:S:1:pos:R:3 pbc="T T T"
In 0.000 0.000 2.300
In 0.000 2.300 0.000
In 2.300 0.000 0.000
Ni 2.300 2.300 2.300
N 0.000 0.000 0.000
```

Properties
Its relative energy among the computed polymorphs is 0 meV/atom.

- Which value of relative energy among the computed polymorphs does entry 2 give?
  197 meV/atom

- What is the formula in the third record?
  In3NiN

- Look up the relative energy among the computed polymorphs of the first one.
  0 meV/atom

Copy entry 1 word for word.
Density functional theory data (PBE) for crystalline Er5Tm5Th2 at its relaxed geometry.

extended XYZ file:
```
12
Lattice="6.070 0.000 0.000 2.045 7.610 0.000 0.086 3.248 7.980" Properties=species:S:1:pos:R:3 pbc="T T T"
Er 0.000 0.000 0.000
Er 1.096 3.768 4.641
Er 2.053 4.317 1.330
Er 6.148 6.541 6.650
Er 7.105 7.090 3.339
Tm 3.141 8.148 5.962
Tm 3.120 4.865 7.322
Tm 4.101 5.429 3.990
Tm 5.082 5.993 0.658
Tm 5.060 2.710 2.018
Th 4.115 8.685 2.656
Th 4.087 2.173 5.324
```

Properties
Its relative energy among the computed polymorphs is 0 meV/atom.